Entry 1:
The following is a PBE calculation of a relaxed SrCr3W crystal, from the Alexandria database.

energy of formation from the pure elements	1085	meV/atom
space group	Pm-3m (221)
E above lowest polymorph	0.0000	eV per atom

Unit cell a=4.8363 b=4.8363 c=4.8363 alpha=90.00 beta=90.00 gamma=90.00
Fractional positions:
Cr (0.0000, 0.5000, 0.0000)
Cr (0.0000, 0.0000, 0.5000)
Cr (0.5000, 0.0000, 0.0000)
W (0.0000, 0.0000, 0.0000)
Sr (0.5000, 0.5000, 0.5000)

---

Entry 2:
The following is a PBE calculation of a relaxed SrCrW2 crystal, from the Alexandria database.

energy of formation from the pure elements	988	meV/atom
space group	C2/m (12)
E above lowest polymorph	0.1960	eV per atom

Unit cell a=5.0949 b=5.0949 c=5.7745 alpha=75.19 beta=75.19 gamma=36.16
Fractional positions:
W (0.9545, 0.9545, 0.1149)
W (0.5455, 0.5455, 0.3851)
Cr (0.2500, 0.2500, 0.2500)
Sr (0.7500, 0.7500, 0.7500)

---

Entry 3:
The following is a PBE calculation of a relaxed Sr3CrW crystal, from the Alexandria database.

energy of formation from the pure elements	1397	meV/atom
space group	Pm-3m (221)
E above lowest polymorph	0.0000	eV per atom

Unit cell a=5.8330 b=5.8330 c=5.8330 alpha=90.00 beta=90.00 gamma=90.00
Fractional positions:
Sr (0.5000, 0.0000, 0.0000)
Sr (0.0000, 0.0000, 0.5000)
Sr (0.0000, 0.5000, 0.0000)
W (0.0000, 0.0000, 0.0000)
Cr (0.5000, 0.5000, 0.5000)

---

Entry 4:
The following is a PBE calculation of a relaxed Sr3CrW crystal, from the Alexandria database.

energy of formation from the pure elements	2088	meV/atom
space group	Pm-3m (221)
E above lowest polymorph	0.6906	eV per atom

Unit cell a=5.4540 b=5.4540 c=5.4540 alpha=90.00 beta=90.00 gamma=90.00
Fractional positions:
W (0.5000, 0.5000, 0.5000)
Sr (0.0000, 0.0000, 0.5000)
Sr (0.0000, 0.5000, 0.0000)
Sr (0.5000, 0.0000, 0.0000)
Cr (0.0000, 0.0000, 0.0000)

---

Entry 5:
The following is a PBE calculation of a relaxed SrCrW2 crystal, from the Alexandria database.

energy of formation from the pure elements	1313	meV/atom
space group	P4/mmm (123)
E above lowest polymorph	0.5208	eV per atom

Unit cell a=5.1034 b=3.9125 c=3.9125 alpha=90.00 beta=90.00 gamma=90.00
Fractional positions:
Cr (0.5000, 0.5000, 0.0000)
W (0.0000, 0.0000, 0.0000)
W (0.0000, 0.5000, 0.5000)
Sr (0.5000, 0.0000, 0.5000)

---

Entry 6:
The following is a PBE calculation of a relaxed SrCrW2 crystal, from the Alexandria database.

energy of formation from the pure elements	1081	meV/atom
space group	Immm (71)
E above lowest polymorph	0.2887	eV per atom

Unit cell a=5.8753 b=5.8753 c=5.8753 alpha=151.45 beta=128.13 gamma=60.27
Fractional positions:
W (0.5418, 0.5418, 0.0000)
W (0.9582, 0.9582, 0.0000)
Cr (0.7500, 0.2500, 0.5000)
Sr (0.2500, 0.7500, 0.5000)

---

Entry 7:
The following is a PBE calculation of a relaxed SrCrW2 crystal, from the Alexandria database.

energy of formation from the pure elements	876	meV/atom
space group	Cmm2 (35)
E above lowest polymorph	0.0837	eV per atom

Unit cell a=2.8247 b=2.8247 c=9.6678 alpha=90.00 beta=90.00 gamma=109.26
Fractional positions:
Sr (0.5000, 0.5000, 0.7418)
W (0.0000, 0.0000, 0.0368)
W (0.5000, 0.5000, 0.2618)
Cr (0.0000, 0.0000, 0.4596)

---

Entry 8:
The following is a PBE calculation of a relaxed SrCrW2 crystal, from the Alexandria database.

energy of formation from the pure elements	856	meV/atom
space group	Cmmm (65)
E above lowest polymorph	0.0645	eV per atom

Unit cell a=2.8071 b=2.8071 c=9.6587 alpha=90.00 beta=90.00 gamma=109.20
Fractional positions:
Sr (0.5000, 0.5000, 0.7500)
W (0.0000, 0.0000, 0.0479)
W (0.0000, 0.0000, 0.4521)
Cr (0.5000, 0.5000, 0.2500)

---

Entry 9:
The following is a PBE calculation of a relaxed SrCrW2 crystal, from the Alexandria database.

energy of formation from the pure elements	813	meV/atom
space group	Pm (6)
E above lowest polymorph	0.0214	eV per atom

Unit cell a=4.1373 b=2.9697 c=7.1085 alpha=76.68 beta=90.00 gamma=90.00
Fractional positions:
Sr (0.5000, 0.6816, 0.7396)
W (0.0000, 0.9807, 0.0960)
W (0.5000, 0.2859, 0.2622)
Cr (0.0000, 0.5517, 0.4021)

---

Entry 10:
The following is a PBE calculation of a relaxed SrCrW2 crystal, from the Alexandria database.

energy of formation from the pure elements	846	meV/atom
space group	P4/mmm (123)
E above lowest polymorph	0.0539	eV per atom

Unit cell a=2.9948 b=2.9948 c=8.5025 alpha=90.00 beta=90.00 gamma=90.00
Fractional positions:
Sr (0.5000, 0.5000, 0.7500)
W (0.0000, 0.0000, 0.4247)
W (0.0000, 0.0000, 0.0753)
Cr (0.5000, 0.5000, 0.2500)

---

Entry 11:
The following is a PBE calculation of a relaxed Sr4CrW crystal, from the Alexandria database.

energy of formation from the pure elements	1565	meV/atom
space group	F-43m (216)

Unit cell a=6.8781 b=6.8781 c=6.8781 alpha=60.00 beta=60.00 gamma=60.00
Fractional positions:
W (0.7500, 0.7500, 0.7500)
Sr (0.3754, 0.3754, 0.3754)
Sr (0.8738, 0.3754, 0.3754)
Sr (0.3754, 0.3754, 0.8738)
Sr (0.3754, 0.8738, 0.3754)
Cr (0.0000, 0.0000, 0.0000)

---

Entry 12:
The following is a PBE calculation of a relaxed SrCrW2 crystal, from the Alexandria database.

energy of formation from the pure elements	853	meV/atom
space group	P2/m (10)
E above lowest polymorph	0.0607	eV per atom

Unit cell a=3.7268 b=2.9780 c=7.7333 alpha=74.26 beta=90.00 gamma=90.00
Fractional positions:
Sr (0.5000, 0.7500, 0.7500)
W (0.0000, 0.5218, 0.4081)
W (0.0000, 0.9782, 0.0919)
Cr (0.5000, 0.2500, 0.2500)

---

Entry 13:
The following is a PBE calculation of a relaxed SrCrW2 crystal, from the Alexandria database.

energy of formation from the pure elements	1190	meV/atom
space group	I-4m2 (119)
E above lowest polymorph	0.3981	eV per atom

Unit cell a=4.7468 b=4.7468 c=4.7427 alpha=120.01 beta=120.01 gamma=90.03
Fractional positions:
Sr (0.7500, 0.2500, 0.5000)
Cr (0.5000, 0.5000, 0.0000)
W (0.9998, 0.0002, 0.0000)
W (0.2502, 0.7498, 0.5000)

---

Entry 14:
The following is a PBE calculation of a relaxed SrCrW2 crystal, from the Alexandria database.

energy of formation from the pure elements	1626	meV/atom
space group	P4/mmm (123)
E above lowest polymorph	0.8345	eV per atom

Unit cell a=4.8612 b=4.8612 c=2.9940 alpha=90.00 beta=90.00 gamma=90.00
Fractional positions:
Sr (0.0000, 0.5000, 0.5000)
W (0.0000, 0.0000, 0.0000)
W (0.5000, 0.5000, 0.0000)
Cr (0.5000, 0.0000, 0.5000)

---

Entry 15:
The following is a PBE calculation of a relaxed SrCrW4 crystal, from the Alexandria database.

energy of formation from the pure elements	873	meV/atom
space group	F-43m (216)

Unit cell a=5.4628 b=5.4628 c=5.4628 alpha=60.00 beta=60.00 gamma=60.00
Fractional positions:
W (0.3745, 0.3745, 0.3745)
W (0.3745, 0.8766, 0.3745)
W (0.8766, 0.3745, 0.3745)
W (0.3745, 0.3745, 0.8766)
Sr (0.0000, 0.0000, 0.0000)
Cr (0.7500, 0.7500, 0.7500)

---

Entry 16:
The following is a PBE calculation of a relaxed SrCrW2 crystal, from the Alexandria database.

energy of formation from the pure elements	792	meV/atom
space group	P4mm (99)
E above lowest polymorph	0.0000	eV per atom

Unit cell a=3.4119 b=3.4119 c=7.3620 alpha=90.00 beta=90.00 gamma=90.00
Fractional positions:
Cr (0.0000, 0.0000, 0.4014)
W (0.5000, 0.5000, 0.2605)
W (0.0000, 0.0000, 0.0933)
Sr (0.5000, 0.5000, 0.7448)

---

Entry 17:
The following is a PBE calculation of a relaxed SrCr2W2 crystal, from the Alexandria database.

energy of formation from the pure elements	768	meV/atom
space group	P4/mbm (127)
E above lowest polymorph	0.0797	eV per atom

Unit cell a=8.0607 b=8.0607 c=2.6944 alpha=90.00 beta=90.00 gamma=90.00
Fractional positions:
W (0.8609, 0.3609, 0.5000)
W (0.3609, 0.1391, 0.5000)
W (0.6391, 0.8609, 0.5000)
W (0.1391, 0.6391, 0.5000)
Cr (0.3512, 0.8512, 0.0000)
Cr (0.6488, 0.1488, 0.0000)
Cr (0.8512, 0.6488, 0.0000)
Cr (0.1488, 0.3512, 0.0000)
Sr (0.5000, 0.5000, 0.0000)
Sr (0.0000, 0.0000, 0.0000)

---

Entry 18:
The following is a PBE calculation of a relaxed SrYCr2 crystal, from the Alexandria database.

energy of formation from the pure elements	538	meV/atom
space group	Amm2 (38)
E above lowest polymorph	0.0578	eV per atom

Unit cell a=4.0405 b=4.7216 c=6.3644 alpha=68.26 beta=90.00 gamma=90.00
Fractional positions:
Cr (0.0000, 0.1903, 0.9946)
Cr (0.5000, 0.0829, 0.2092)
Sr (0.0000, 0.4749, 0.4251)
Y (0.5000, 0.7519, 0.8711)

---

Entry 19:
The following is a PBE calculation of a relaxed SrY3Cr crystal, from the Alexandria database.

energy of formation from the pure elements	310	meV/atom
space group	Pm-3m (221)
E above lowest polymorph	0.0000	eV per atom

Unit cell a=5.5157 b=5.5157 c=5.5157 alpha=90.00 beta=90.00 gamma=90.00
Fractional positions:
Sr (0.5000, 0.5000, 0.5000)
Y (0.5000, 0.0000, 0.0000)
Y (0.0000, 0.0000, 0.5000)
Y (0.0000, 0.5000, 0.0000)
Cr (0.0000, 0.0000, 0.0000)

---

Entry 20:
The following is a PBE calculation of a relaxed SrY3Cr crystal, from the Alexandria database.

energy of formation from the pure elements	1966	meV/atom
space group	Pm-3m (221)
E above lowest polymorph	1.6566	eV per atom

Unit cell a=5.5084 b=5.5084 c=5.5084 alpha=90.00 beta=90.00 gamma=90.00
Fractional positions:
Y (0.0000, 0.0000, 0.5000)
Y (0.5000, 0.0000, 0.0000)
Y (0.0000, 0.5000, 0.0000)
Sr (0.0000, 0.0000, 0.0000)
Cr (0.5000, 0.5000, 0.5000)

---

Calculated total DFT energy (no corrections), -7.616; -8.315; -4.127; -3.436; -7.990; -8.222; -8.427; -8.447; -8.490; -8.457; -3.319; -8.450; -8.113; -7.677; -9.647; -8.511; -8.599; -6.310; -5.830; -4.173 eV/atom (same order as the records).